--- A ---
Compound: MgReRu
Source: the Alexandria database
Functional: PBE-GGA
Structure: relaxed

Unit cell a=7.221 b=6.998 c=2.744 alpha=83.50 beta=74.32 gamma=22.18
Fractional positions:
Mg: 0.003 0.003 0.997
Re: 0.325 0.325 0.675
Ru: 0.672 0.672 0.328

=====

--- B ---
Compound: MgReRu
Source: the Alexandria database
Functional: PBE-GGA
Structure: relaxed

Unit cell a=2.810 b=2.810 c=6.853 alpha=90.00 beta=90.00 gamma=120.00
Fractional positions:
Mg: 0.000 0.000 0.996
Re: 0.333 0.667 0.354
Ru: 0.667 0.333 0.650

=====

Pick B: it beats the second-best structure by 0.148 eV/atom.

=====

--- A ---
Compound: MgReRu
Source: the Alexandria database
Functional: PBE-GGA
Structure: relaxed

Unit cell a=4.206 b=4.206 c=4.206 alpha=60.00 beta=60.00 gamma=60.00
Fractional positions:
Mg: 0.000 0.000 0.000
Re: 0.500 0.500 0.500
Ru: 0.750 0.750 0.750

=====

--- B ---
Compound: MgReRu
Source: the Alexandria database
Functional: PBE-GGA
Structure: relaxed

Unit cell a=5.656 b=5.656 c=5.656 alpha=149.80 beta=149.80 gamma=43.23
Fractional positions:
Mg: 0.004 0.004 0.000
Re: 0.322 0.322 0.000
Ru: 0.675 0.675 0.000

=====

--- C ---
Compound: MgReRu
Source: the Alexandria database
Functional: PBE-GGA
Structure: relaxed

Unit cell a=2.848 b=2.848 c=11.804 alpha=90.00 beta=90.00 gamma=90.00
Fractional positions:
Mg: 0.000 0.500 0.609
Mg: 0.500 0.000 0.391
Ru: 0.000 0.500 0.229
Ru: 0.500 0.000 0.771
Re: 0.500 0.000 0.085
Re: 0.000 0.500 0.915

=====

Pick C: it beats the second-best structure by 0.067 eV/atom.

=====

--- A ---
Compound: Mg3ReS
Source: the Alexandria database
Functional: PBE-GGA
Structure: relaxed

Unit cell a=4.711 b=4.711 c=4.711 alpha=90.00 beta=90.00 gamma=90.00
Fractional positions:
Re: 0.500 0.500 0.500
S: 0.000 0.000 0.000
Mg: 0.000 0.500 0.000
Mg: 0.000 0.000 0.500
Mg: 0.500 0.000 0.000

=====

--- B ---
Compound: Mg3ReS
Source: the Alexandria database
Functional: PBE-GGA
Structure: relaxed

Unit cell a=5.119 b=5.119 c=5.119 alpha=90.00 beta=90.00 gamma=90.00
Fractional positions:
Re: 0.000 0.000 0.000
S: 0.500 0.500 0.500
Mg: 0.000 0.500 0.000
Mg: 0.000 0.000 0.500
Mg: 0.500 0.000 0.000

=====

Pick A: it beats the second-best structure by 0.469 eV/atom.

=====

--- A ---
Compound: Mg3ReSb
Source: the Alexandria database
Functional: PBE-GGA
Structure: relaxed

Unit cell a=5.061 b=5.061 c=5.061 alpha=90.00 beta=90.00 gamma=90.00
Fractional positions:
Re: 0.000 0.000 0.000
Mg: 0.000 0.500 0.000
Mg: 0.000 0.000 0.500
Mg: 0.500 0.000 0.000
Sb: 0.500 0.500 0.500

=====

--- B ---
Compound: Mg3ReSb
Source: the Alexandria database
Functional: PBE-GGA
Structure: relaxed

Unit cell a=5.245 b=5.245 c=5.245 alpha=90.00 beta=90.00 gamma=90.00
Fractional positions:
Re: 0.500 0.500 0.500
Mg: 0.000 0.500 0.000
Mg: 0.000 0.000 0.500
Mg: 0.500 0.000 0.000
Sb: 0.000 0.000 0.000

=====

Pick A: it beats the second-best structure by 0.422 eV/atom.

=====

--- A ---
Compound: MgRe2Sb
Source: the Alexandria database
Functional: PBE-GGA
Structure: relaxed

Unit cell a=4.534 b=4.534 c=4.534 alpha=60.00 beta=60.00 gamma=60.00
Fractional positions:
Re: 0.250 0.250 0.250
Re: 0.750 0.750 0.750
Mg: 0.000 0.000 0.000
Sb: 0.500 0.500 0.500

=====

--- B ---
Compound: MgRe2Sb
Source: the Alexandria database
Functional: PBE-GGA
Structure: relaxed

Unit cell a=3.284 b=3.284 c=6.306 alpha=90.00 beta=90.00 gamma=90.00
Fractional positions:
Mg: 0.500 0.500 0.750
Re: 0.000 0.000 0.017
Re: 0.000 0.000 0.483
Sb: 0.500 0.500 0.250

=====

--- C ---
Compound: MgRe2Sb
Source: the Alexandria database
Functional: PBE-GGA
Structure: relaxed

Unit cell a=7.742 b=7.742 c=6.070 alpha=50.38 beta=50.38 gamma=90.00
Fractional positions:
Re: 0.659 0.125 0.250
Re: 0.091 0.625 0.250
Re: 0.375 0.341 0.750
Re: 0.875 0.909 0.750
Mg: 0.500 0.500 0.000
Mg: 0.250 0.750 0.500
Sb: 0.000 0.000 0.000
Sb: 0.750 0.250 0.500

=====

Pick A: it beats the second-best structure by 0.064 eV/atom.

=====

--- A ---
Compound: MgReSb2Te
Source: the Alexandria database
Functional: PBE-GGA
Structure: relaxed

Unit cell a=5.041 b=5.041 c=6.002 alpha=90.00 beta=90.00 gamma=90.00
Fractional positions:
Re: 0.000 0.000 0.000
Mg: 0.500 0.500 0.500
Te: 0.000 0.000 0.500
Sb: 0.000 0.500 0.000
Sb: 0.500 0.000 0.000

=====

--- B ---
Compound: MgReSb2Te
Source: the Alexandria database
Functional: PBE-GGA
Structure: relaxed

Unit cell a=5.278 b=5.278 c=5.335 alpha=90.00 beta=90.00 gamma=90.00
Fractional positions:
Re: 0.500 0.500 0.500
Mg: 0.000 0.000 0.000
Te: 0.000 0.000 0.500
Sb: 0.000 0.500 0.000
Sb: 0.500 0.000 0.000

=====

Pick A: it beats the second-best structure by 0.928 eV/atom.

=====

--- A ---
Compound: Mg2ScRe
Source: the Alexandria database
Functional: PBE-GGA
Structure: relaxed

Unit cell a=3.312 b=3.312 c=7.243 alpha=90.00 beta=90.00 gamma=90.00
Fractional positions:
Mg: 0.000 0.000 0.013
Mg: 0.500 0.500 0.286
Re: 0.000 0.000 0.502
Sc: 0.500 0.500 0.700

=====

--- B ---
Compound: Mg2ScRe
Source: the Alexandria database
Functional: PBE-GGA
Structure: relaxed

Unit cell a=3.586 b=3.586 c=5.805 alpha=90.00 beta=90.00 gamma=90.00
Fractional positions:
Mg: 0.000 0.000 0.027
Mg: 0.000 0.000 0.473
Re: 0.500 0.500 0.250
Sc: 0.500 0.500 0.750

=====

Pick A: it beats the second-best structure by 0.184 eV/atom.

=====

--- A ---
Compound: Mg2ScRe
Source: the Alexandria database
Functional: PBE-GGA
Structure: relaxed

Unit cell a=4.871 b=2.829 c=5.488 alpha=77.89 beta=90.00 gamma=90.00
Fractional positions:
Mg: 0.000 0.038 0.019
Mg: 0.000 0.462 0.481
Re: 0.500 0.250 0.250
Sc: 0.500 0.750 0.750

=====

--- B ---
Compound: Mg2ScRe
Source: the Alexandria database
Functional: PBE-GGA
Structure: relaxed

Unit cell a=2.808 b=2.808 c=9.846 alpha=90.00 beta=90.00 gamma=105.40
Fractional positions:
Mg: 0.000 0.000 0.024
Mg: 0.000 0.000 0.476
Re: 0.500 0.500 0.250
Sc: 0.500 0.500 0.750

=====

--- C ---
Compound: Mg2ScRe
Source: the Alexandria database
Functional: PBE-GGA
Structure: relaxed

Unit cell a=5.014 b=5.014 c=5.488 alpha=84.79 beta=84.79 gamma=33.06
Fractional positions:
Mg: 0.002 0.002 0.987
Mg: 0.756 0.756 0.748
Re: 0.499 0.499 0.484
Sc: 0.242 0.242 0.281

=====

--- D ---
Compound: Mg2ScRe
Source: the Alexandria database
Functional: PBE-GGA
Structure: relaxed

Unit cell a=10.389 b=10.389 c=10.389 alpha=16.14 beta=16.14 gamma=16.14
Fractional positions:
Mg: 0.992 0.992 0.992
Mg: 0.508 0.508 0.508
Re: 0.250 0.250 0.250
Sc: 0.750 0.750 0.750

=====

Pick A: it beats the second-best structure by 0.042 eV/atom.

=====

--- A ---
Compound: Mg2ScRe
Source: the Alexandria database
Functional: PBE-GGA
Structure: relaxed

Unit cell a=4.686 b=4.686 c=4.686 alpha=60.00 beta=60.00 gamma=60.00
Fractional positions:
Sc: 0.000 0.000 0.000
Re: 0.500 0.500 0.500
Mg: 0.250 0.250 0.250
Mg: 0.750 0.750 0.750

=====

--- B ---
Compound: Mg2ScRe
Source: the Alexandria database
Functional: PBE-GGA
Structure: relaxed

Unit cell a=3.303 b=4.544 c=4.951 alpha=90.00 beta=90.00 gamma=90.00
Fractional positions:
Mg: 0.000 0.000 0.000
Mg: 0.500 0.500 0.000
Re: 0.500 0.000 0.500
Sc: 0.000 0.500 0.500

=====

Pick B: it beats the second-best structure by 0.087 eV/atom.

=====

--- A ---
Compound: Mg2ScRe
Source: the Alexandria database
Functional: PBE-GGA
Structure: relaxed

Unit cell a=5.224 b=5.224 c=5.216 alpha=83.22 beta=83.22 gamma=31.82
Fractional positions:
Mg: 0.010 0.010 0.981
Mg: 0.490 0.490 0.519
Re: 0.750 0.750 0.750
Sc: 0.250 0.250 0.250

=====

--- B ---
Compound: Mg2ScRe
Source: the Alexandria database
Functional: PBE-GGA
Structure: relaxed

Unit cell a=4.039 b=4.039 c=4.549 alpha=90.00 beta=90.00 gamma=90.00
Fractional positions:
Mg: 0.000 0.000 0.000
Mg: 0.500 0.500 0.000
Re: 0.500 0.000 0.500
Sc: 0.000 0.500 0.500

=====

Pick A: it beats the second-best structure by 0.031 eV/atom.

=====

--- A ---
Compound: Mg2ScRe
Source: the Alexandria database
Functional: PBE-GGA
Structure: relaxed

Unit cell a=4.714 b=4.714 c=4.714 alpha=60.00 beta=60.00 gamma=60.00
Fractional positions:
Mg: 0.000 0.000 0.000
Mg: 0.250 0.250 0.250
Re: 0.500 0.500 0.500
Sc: 0.750 0.750 0.750

=====

--- B ---
Compound: Mg2ScRe
Source: the Alexandria database
Functional: PBE-GGA
Structure: relaxed

Unit cell a=2.917 b=2.917 c=9.555 alpha=90.00 beta=90.00 gamma=108.49
Fractional positions:
Mg: 0.000 0.000 0.002
Mg: 0.500 0.500 0.274
Re: 0.000 0.000 0.503
Sc: 0.500 0.500 0.721

=====

Pick B: it beats the second-best structure by 0.090 eV/atom.

=====

--- A ---
Compound: Mg2ScRe
Source: the Alexandria database
Functional: PBE-GGA
Structure: relaxed

Unit cell a=2.806 b=2.806 c=9.582 alpha=90.00 beta=90.00 gamma=90.00
Fractional positions:
Mg: 0.000 0.000 0.026
Mg: 0.000 0.000 0.474
Re: 0.500 0.500 0.250
Sc: 0.500 0.500 0.750

=====

--- B ---
Compound: Mg2ScRe
Source: the Alexandria database
Functional: PBE-GGA
Structure: relaxed

Unit cell a=3.966 b=3.966 c=10.607 alpha=79.22 beta=79.22 gamma=90.00
Fractional positions:
Sc: 0.500 0.500 0.000
Sc: 0.250 0.750 0.500
Re: 0.000 0.000 0.000
Re: 0.750 0.250 0.500
Mg: 0.647 0.125 0.250
Mg: 0.103 0.625 0.250
Mg: 0.375 0.353 0.750
Mg: 0.875 0.897 0.750

=====

Pick A: it beats the second-best structure by 0.293 eV/atom.